# 1
A relaxed structure of In2ReAg. Source: the Alexandria database, functional GGA-PBE.

Values from the calculation:
Its density of states at the Fermi level is 2.71 states/eV/f.u. The calculation puts the electronic total energy at -18.81 eV per cell. For the energy relative to the lowest polymorph listed for this composition, the calculation gives 5.8 kJ/mol of atoms. Its energy of formation from the pure elements is 0.49 eV/atom. The calculation puts the magnetic moment at 0.08 μB per formula unit.

Structure (extended XYZ):
```
4
Lattice="-0.5104 1.3843 2.6529 -2.4023 -0.6197 -1.7492 -0.8997 -8.4085 4.2144" Properties=species:S:1:pos:R:3 pbc="T T T"
Re -1.6812 -1.7198 1.5054
In -0.4424 -4.1345 2.0723
In -0.0075 -0.0698 0.0350
Ag -2.1311 -5.9241 3.6127
```

=====

# 2
A relaxed structure of InRe2Ag. Source: the Alexandria database, functional GGA-PBE.

Values from the calculation:
Its density of states at the Fermi level is 1.56 states/eV/f.u. The calculation puts the electronic total energy at -27.87 eV per cell. Its energy of formation from the pure elements is 0.65 eV/atom. The calculation puts the magnetic moment at 0.00 μB per formula unit.

Structure (extended XYZ):
```
4
Lattice="-2.5489 3.3003 -1.8529 -4.4442 0.2815 0.9961 -1.5441 3.4199 2.5966" Properties=species:S:1:pos:R:3 pbc="T T T"
Ag -4.2686 3.5008 0.8699
Re -6.4029 5.2512 1.3048
Re 0.0000 0.0000 0.0000
In -2.1343 1.7504 0.4349
```